TcPdRu after structural relaxation. Source: Alexandria, functional PBE.

## Properties
As for the energy of formation: 0.049 eV/atom. As for the size of the total moment: 0.00 μB per atom. The value obtained for the density of states at the Fermi level is 3.57 states/eV per cell. As for the energy above the most stable polymorph in this dataset: 12 meV/atom.

a = 6.1034 Å, b = 6.1034 Å, c = 6.1034 Å
α = 153.88°, β = 153.88°, γ = 37.27°
Last column: nearest neighbours and their distance in Å.
Element x y z (fractional)
Tc  0.0000  0.0000  0.0000  4 Ru 2.59, 4 Tc 2.76, 4 Pd 2.81
Pd  0.3253  0.3253  0.0000  4 Pd 2.76, 4 Tc 2.81, 4 Ru 2.84
Ru  0.6473  0.6473  0.0000  4 Tc 2.59, 4 Ru 2.76, 4 Pd 2.84